{"formula": "K2SrAg2F7", "functional": "PBE", "state": "optimized geometry", "volume_a3_per_atom": 18.38, "sg": "C2/m (12)", "e_form_raw_ev_per_atom": -2.272, "lattice": [[-3.9868, 0.2672, 2.0649], [-1.3040, -1.3314, -4.0935], [-1.6678, -11.1049, 2.1560]], "species": ["F", "F", "F", "F", "F", "F", "F", "K", "K", "Ag", "Ag", "Sr"], "fractional_positions": [[0.9723, 0.5722, 0.1668], [0.0277, 0.4278, 0.8332], [0.5000, 0.5000, 0.0000], [0.2978, 0.2978, 0.3986], [0.4278, 0.0277, 0.8332], [0.7022, 0.7022, 0.6014], [0.5722, 0.9723, 0.1668], [0.1827, 0.1827, 0.6310], [0.8173, 0.8173, 0.3690], [0.4101, 0.4101, 0.1995], [0.5899, 0.5899, 0.8005], [0.0000, 0.0000, 0.0000]]}